DFT (PBE-GGA) results for a relaxed Zn4Cd3 crystal. Values from VASP.

Calculated values
- Energy of formation from the pure elements: 0.080 eV per atom
- Total moment: 0.00 μB/cell
- Uncorrected energy: -7.284 eV per formula unit
- Density of states at the Fermi level: 1.519 states/eV/cell

Cell and atoms, written as Quantum ESPRESSO input:
```
&SYSTEM
  ibrav = 0, nat = 7, ntyp = 2
/
ATOMIC_SPECIES
Zn 65.41 Zn.upf
Cd 112.41 Cd.upf
ATOMIC_POSITIONS angstrom
Zn 2.625 0.698 0.000
Zn 8.091 2.152 0.000
Zn 10.715 2.850 0.000
Zn 16.181 4.303 0.000
Cd 0.000 0.000 0.000
Cd 5.451 1.450 0.000
Cd 13.355 3.552 0.000
CELL_PARAMETERS angstrom
10.074 -0.022 0.000
8.732 5.023 0.000
-9.403 -2.501 2.610
```